(1)
Entry from Alexandria: crystalline TbPm4Ho at its relaxed geometry (GGA-PBE).

Summary:
* energy above the lowest structure with this stoichiometry: 0.000 eV/atom
* ΔE_f: 0.068 eV per atom
* crystal system: orthorhombic
* space-group type: Imma
* magnetization: 0.00 μB per formula unit
* VASP energy: -4.6339 eV per atom

Cell lengths 6.1547, 5.8257, 12.0356 Å; angles 104.00, 104.81, 90.00 degrees
Fractional coordinates of all 12 atoms:
1 Tb 0.5000 0.5000 0.5000
2 Tb 0.0000 0.0000 0.5000
3 Pm 0.3581 0.9129 0.3255
4 Pm 0.9674 0.4129 0.3255
5 Pm 0.7589 0.8315 0.1624
6 Pm 0.4035 0.3315 0.1624
7 Pm 0.2411 0.1685 0.8376
8 Pm 0.5965 0.6685 0.8376
9 Pm 0.6419 0.0871 0.6745
10 Pm 0.0326 0.5871 0.6745
11 Ho 0.1718 0.7500 0.0000
12 Ho 0.8282 0.2500 0.0000


(2)
Entry from Alexandria: crystalline Tb3Pm4Ho at its relaxed geometry (GGA-PBE).

Summary:
* energy above the lowest structure with this stoichiometry: 0.138 eV/atom
* ΔE_f: 0.163 eV per atom
* crystal system: monoclinic
* space-group type: C2/m
* magnetization: 0.00 μB per formula unit
* VASP energy: -4.5205 eV per atom

Cell lengths 3.4953, 6.8161, 11.9004 Å; angles 106.51, 98.44, 90.00 degrees
Fractional coordinates of all 8 atoms:
1 Tb 0.0000 0.5000 0.0000
2 Tb 0.1229 0.8818 0.2458
3 Tb 0.8771 0.1182 0.7542
4 Ho 0.5000 0.0000 0.0000
5 Pm 0.7405 0.2369 0.4811
6 Pm 0.2595 0.7631 0.5189
7 Pm 0.1237 0.3674 0.2474
8 Pm 0.8763 0.6326 0.7526


(3)
Entry from Alexandria: crystalline Tb2PmHo8 at its relaxed geometry (GGA-PBE).

Summary:
* energy above the lowest structure with this stoichiometry: 0.040 eV/atom
* ΔE_f: 0.154 eV per atom
* crystal system: monoclinic
* space-group type: C2/m
* magnetization: 0.01 μB per formula unit
* VASP energy: -4.4486 eV per atom

Cell lengths 5.5199, 10.1147, 10.1147 Å; angles 40.02, 92.74, 92.74 degrees
Fractional coordinates of all 11 atoms:
1 Tb 0.7494 0.2841 0.2841
2 Tb 0.2506 0.7159 0.7159
3 Pm 0.0000 0.0000 0.0000
4 Ho 0.2682 0.1336 0.6014
5 Ho 0.2682 0.6014 0.1336
6 Ho 0.7318 0.8664 0.3986
7 Ho 0.2373 0.5469 0.5469
8 Ho 0.7318 0.3986 0.8664
9 Ho 0.2329 0.1877 0.1877
10 Ho 0.7671 0.8123 0.8123
11 Ho 0.7627 0.4531 0.4531


(4)
Entry from Alexandria: crystalline TbPm2Ho2 at its relaxed geometry (GGA-PBE).

Summary:
* energy above the lowest structure with this stoichiometry: 0.000 eV/atom
* ΔE_f: 0.021 eV per atom
* crystal system: monoclinic
* space-group type: C2/m
* magnetization: 0.00 μB per formula unit
* VASP energy: -4.6365 eV per atom

Cell lengths 3.5883, 3.5870, 15.0020 Å; angles 96.82, 83.13, 59.99 degrees
Fractional coordinates of all 5 atoms:
1 Tb 0.5000 0.5000 0.5000
2 Pm 0.2282 0.4399 0.1037
3 Pm 0.7718 0.5601 0.8963
4 Ho 0.6375 0.0284 0.6966
5 Ho 0.3625 0.9716 0.3034